Record 1
## GdScCoRu (PBE)

Data for GdScCoRu after structural relaxation.

a = 4.646 Å, b = 4.646 Å, c = 4.646 Å
α = 60.00°, β = 60.00°, γ = 60.00°
Fractional coordinates of all 4 atoms:
Ru1 0.750 0.750 0.750
Sc1 0.000 0.000 0.000
Gd1 0.500 0.500 0.500
Co1 0.250 0.250 0.250

Results
Total moment, Bohr magnetons per cell: 7.180
ΔE_f, meV/atom: -289
Crystal system: cubic
E_tot, eV/atom: -9.488
Space group: F-43m, No. 216



Record 2
## Pu2ThNpN4 (PBE)

Data for Pu2ThNpN4 after structural relaxation.

a = 3.529 Å, b = 6.131 Å, c = 6.098 Å
α = 109.44°, β = 90.00°, γ = 90.00°
Fractional coordinates of all 8 atoms:
Th1 0.000 0.000 0.000
N1 0.000 0.264 0.753
N2 0.500 0.734 0.745
N3 0.000 0.736 0.247
N4 0.500 0.266 0.255
Pu1 0.500 0.000 0.500
Pu2 0.000 0.500 0.500
Np1 0.500 0.500 0.000

Results
Total moment, Bohr magnetons per cell: 13.289
E_form (uncorrected), kJ per mole of atoms: -124
Crystal system: monoclinic
E_tot, eV/atom: -11.571
Space group: P2/m, No. 10



Record 3
## DyTmInOs (PBE)

Data for DyTmInOs after structural relaxation.

a = 5.007 Å, b = 5.007 Å, c = 5.007 Å
α = 60.00°, β = 60.00°, γ = 60.00°
Fractional coordinates of all 4 atoms:
In1 0.000 0.000 0.000
Dy1 0.250 0.250 0.250
Os1 0.500 0.500 0.500
Tm1 0.750 0.750 0.750

Results
Total moment, Bohr magnetons per cell: 0.000
Offset from the most stable computed form, eV/atom: 0.129
ΔE_f, meV/atom: -263
Crystal system: cubic
E_tot, eV/atom: -6.023
Space group: F-43m, No. 216



Record 4
## Y3InO (PBE)

Data for Y3InO after structural relaxation.

a = 5.834 Å, b = 13.257 Å, c = 6.691 Å
α = 90.00°, β = 90.00°, γ = 90.00°
Fractional coordinates of all 20 atoms:
Y1 0.472 0.250 0.929
Y2 0.497 0.119 0.409
Y3 0.003 0.619 0.909
Y4 0.528 0.750 0.071
Y5 0.503 0.619 0.591
Y6 0.497 0.381 0.409
Y7 0.997 0.381 0.091
Y8 0.972 0.250 0.571
Y9 0.028 0.750 0.429
Y10 0.503 0.881 0.591
Y11 0.997 0.119 0.091
Y12 0.003 0.881 0.909
O1 0.915 0.750 0.109
O2 0.415 0.750 0.391
O3 0.585 0.250 0.609
O4 0.085 0.250 0.891
In1 0.000 0.500 0.500
In2 0.000 0.000 0.500
In3 0.500 0.000 0.000
In4 0.500 0.500 0.000

Results
Total moment, Bohr magnetons per cell: 0.000
E_form (uncorrected), kJ per mole of atoms: -123
Crystal system: orthorhombic
E_tot, eV/atom: -6.695
Space group: Pnma, No. 62



Record 5
## NpSO (PBE)

Data for NpSO after structural relaxation.

a = 3.843 Å, b = 3.843 Å, c = 10.039 Å
α = 78.96°, β = 78.96°, γ = 60.00°
Fractional coordinates of all 6 atoms:
S1 0.897 0.897 0.309
S2 0.103 0.103 0.691
O1 0.639 0.639 0.082
O2 0.361 0.361 0.918
Np1 0.718 0.718 0.845
Np2 0.282 0.282 0.155

Results
Total moment, Bohr magnetons per cell: 6.000
E_form (uncorrected), kJ per mole of atoms: -211
Crystal system: trigonal
E_tot, eV/atom: -9.534
Space group: R-3m, No. 166



Record 6
## BeFe2MoH (PBE)

Data for BeFe2MoH after structural relaxation.

a = 3.520 Å, b = 3.520 Å, c = 4.037 Å
α = 90.00°, β = 90.00°, γ = 90.00°
Fractional coordinates of all 5 atoms:
H1 0.000 0.000 0.000
Mo1 0.000 0.000 0.500
Fe1 0.000 0.500 0.000
Fe2 0.500 0.000 0.000
Be1 0.500 0.500 0.500

Results
Total moment, Bohr magnetons per cell: 4.397
Offset from the most stable computed form, eV/atom: 0.000
Crystal system: tetragonal
E_tot, eV/atom: -6.870
Space group: P4/mmm, No. 123



Record 7
## Pr3PtSe2 (PBE)

Data for Pr3PtSe2 after structural relaxation.

a = 4.162 Å, b = 6.138 Å, c = 7.527 Å
α = 114.06°, β = 106.05°, γ = 90.00°
Fractional coordinates of all 6 atoms:
Se1 0.170 0.170 0.839
Se2 0.830 0.830 0.161
Pr1 0.844 0.344 0.188
Pr2 0.500 0.000 0.500
Pr3 0.156 0.656 0.812
Pt1 0.500 0.500 0.500

Results
Total moment, Bohr magnetons per cell: 0.001
E_form (uncorrected), kJ per mole of atoms: -150
Crystal system: orthorhombic
E_tot, eV/atom: -6.117
Space group: Immm, No. 71



Record 8
## LiTb2Ag3 (PBE)

Data for LiTb2Ag3 after structural relaxation.

a = 5.070 Å, b = 6.991 Å, c = 8.619 Å
α = 113.92°, β = 107.10°, γ = 90.00°
Fractional coordinates of all 12 atoms:
Tb1 0.670 0.170 0.339
Tb2 0.330 0.330 0.661
Tb3 0.670 0.670 0.339
Tb4 0.330 0.830 0.661
Ag1 0.500 0.750 0.000
Ag2 0.852 0.102 0.705
Ag3 0.500 0.250 0.000
Ag4 0.852 0.602 0.705
Ag5 0.148 0.898 0.295
Ag6 0.148 0.398 0.295
Li1 0.000 0.500 0.000
Li2 0.000 0.000 0.000

Results
Total moment, Bohr magnetons per cell: 0.000
Offset from the most stable computed form, eV/atom: 0.021
ΔE_f, meV/atom: -213
Crystal system: orthorhombic
E_tot, eV/atom: -3.501
Space group: Cmmm, No. 65



Question: What is the formula in the first record?
Answer: GdScCoRu



Question: The highest total moment belongs to which entry?
Answer: Pu2ThNpN4



Question: Among the records above, which one has the lowest E_tot?
Answer: Pu2ThNpN4